Arrangement i

Density functional theory data (GGA-PBE) for LaFe2Tc after structural relaxation.

Lattice parameters (Å, degrees): 2.980 2.998 7.246 90.00 90.00 90.00
Atoms (fractional coordinates):
La 0.000 0.000 0.000
Fe 0.500 0.500 0.315
Fe 0.500 0.500 0.685
Tc 0.000 0.000 0.500

Calculated values
D(E_F)   4.0 states/eV/f.u.
Calculated density   8.94 g/cm³
Magnetization   0.0288 μB/atom
Space group   Pmmm (47)



Arrangement ii

Density functional theory data (GGA-PBE) for LaFe2Tc after structural relaxation.

Lattice parameters (Å, degrees): 8.525 8.525 8.525 148.12 148.12 45.71
Atoms (fractional coordinates):
La 0.375 0.625 0.750
La 0.625 0.375 0.250
Fe 0.000 0.000 0.000
Fe 0.000 0.000 0.500
Fe 0.000 0.500 0.000
Fe 0.500 0.000 0.500
Tc 0.125 0.875 0.250
Tc 0.875 0.125 0.750

Calculated values
D(E_F)   3.7 states/eV/f.u.
Calculated density   6.72 g/cm³
Magnetization   0.6596 μB/atom
Space group   I4_1/amd (141)



Which of them is the most stable? Correct choice: arrangement i.